# 1
! GGA-PBE LaFeTc2, relaxed; values from VASP
! Fermi-level density of states, states/eV/cell: 4.539
! Magnetization, μB/atom: 0.5748
! Volume, Å³/cell: 69.0
! Formation enthalpy at 0 K, eV/atom: 0.5786
! Energy above the most stable polymorph in this dataset, eV/atom: 0.379
&SYSTEM
  ibrav = 0, nat = 4, ntyp = 3
/
ATOMIC_SPECIES
Fe 55.84 Fe.upf
La 138.91 La.upf
Tc 98.00 Tc.upf
CELL_PARAMETERS angstrom
9.774 0.041 0.024
9.338 2.885 0.024
9.338 1.429 2.506
ATOMIC_POSITIONS angstrom
Fe 14.531 2.224 1.304
La 21.398 3.275 1.920
Tc 28.091 4.300 2.521
Tc 7.107 1.088 0.638

=====

# 2
! GGA-PBE NdGa4Cu2Ni, relaxed; values from VASP
! Fermi-level density of states, states/eV/cell: 2.947
! Magnetization, μB/atom: 0.0000
! Volume, Å³/cell: 132.8
! Formation enthalpy at 0 K, eV/atom: -0.3474
&SYSTEM
  ibrav = 0, nat = 8, ntyp = 4
/
ATOMIC_SPECIES
Nd 144.24 Nd.upf
Ga 69.72 Ga.upf
Cu 63.55 Cu.upf
Ni 58.69 Ni.upf
CELL_PARAMETERS angstrom
4.165 0.000 0.000
2.082 3.607 0.000
2.082 1.202 8.840
ATOMIC_POSITIONS angstrom
Nd 0.000 0.000 0.000
Ga 4.165 2.404 6.951
Ga 6.247 3.607 3.516
Ga 2.082 1.202 5.325
Ga 4.165 2.404 1.889
Cu 6.247 3.607 6.243
Cu 2.082 1.202 2.597
Ni 4.165 2.404 4.420

=====

# 3
! GGA-PBE RbTiGa, relaxed; values from VASP
! Fermi-level density of states, states/eV/cell: 6.621
! Magnetization, μB/atom: 0.0000
! Volume, Å³/cell: 103.8
! Formation enthalpy at 0 K, eV/atom: 0.6760
! Energy above the most stable polymorph in this dataset, eV/atom: 0.672
&SYSTEM
  ibrav = 0, nat = 3, ntyp = 3
/
ATOMIC_SPECIES
Ga 69.72 Ga.upf
Rb 85.47 Rb.upf
Ti 47.87 Ti.upf
CELL_PARAMETERS angstrom
-0.889 -0.448 4.340
1.201 -3.550 -2.404
5.803 1.082 1.301
ATOMIC_POSITIONS angstrom
Ga 0.000 0.000 0.000
Rb 2.709 -0.941 2.742
Ti 0.504 -2.516 -0.156

=====

# 4
! GGA-PBE Th2TlZnOs, relaxed; values from VASP
! Fermi-level density of states, states/eV/cell: 7.627
! Magnetization, μB/atom: 0.0000
! Volume, Å³/cell: 283.5
! Formation enthalpy at 0 K, eV/atom: -0.1297
&SYSTEM
  ibrav = 0, nat = 10, ntyp = 4
/
ATOMIC_SPECIES
Th 232.04 Th.upf
Tl 204.38 Tl.upf
Zn 65.41 Zn.upf
Os 190.23 Os.upf
CELL_PARAMETERS angstrom
-1.361 -3.859 0.063
4.273 -1.403 6.393
-8.442 3.021 2.652
ATOMIC_POSITIONS angstrom
Th -3.259 -2.000 6.509
Th 2.001 -3.872 5.487
Th -2.272 -0.241 2.598
Th -7.532 1.631 3.620
Tl 0.063 -1.005 6.315
Tl -5.594 -1.237 2.792
Zn -4.582 0.609 4.771
Zn -0.949 -2.850 4.336
Os -4.162 0.501 7.222
Os -1.369 -2.742 1.885

=====

# 5
! GGA-PBE Pm4PrAg, relaxed; values from VASP
! Fermi-level density of states, states/eV/cell: 17.150
! Magnetization, μB/atom: 0.0000
! Volume, Å³/cell: 392.1
! Formation enthalpy at 0 K, eV/atom: 0.0453
! Energy above the most stable polymorph in this dataset, eV/atom: 0.113
&SYSTEM
  ibrav = 0, nat = 12, ntyp = 3
/
ATOMIC_SPECIES
Pm 145.00 Pm.upf
Pr 140.91 Pr.upf
Ag 107.87 Ag.upf
CELL_PARAMETERS angstrom
-4.823 0.185 -2.912
-2.816 -3.997 4.410
-0.668 8.295 7.091
ATOMIC_POSITIONS angstrom
Pm -5.686 6.568 4.380
Pm -2.393 -1.760 3.851
Pm -5.337 4.296 9.112
Pm -3.689 -0.832 0.601
Pm -5.127 0.805 3.087
Pm -2.183 5.095 3.939
Pm -4.217 3.839 1.772
Pm -3.247 1.841 5.496
Pr -6.668 3.426 5.807
Pr -1.403 1.393 2.412
Ag -5.777 -2.008 3.985
Ag -3.745 4.767 6.506